Record 1
Crystalline KCeBiO6 at its relaxed geometry. Source: Alexandria, functional PBE.

abc: 4.8702 6.0239 6.0239
angles: 120.00 90.00 90.00
Each line ends with the local moment (μB).
Atoms (fractional coordinates):
O: 0.2562 0.6760 0.9321  0.30
Ce: 0.0000 0.3333 0.6667  -0.11
O: 0.2562 0.2561 0.3240  0.30
O: 0.7438 0.2561 0.9321  0.30
O: 0.7438 0.0679 0.3240  0.30
O: 0.2562 0.0679 0.7439  0.30
K: 0.5000 0.6667 0.3333  0.00
Bi: 0.5000 0.0000 0.0000  -0.04
O: 0.7438 0.6760 0.7439  0.30

Summary:
Spin magnetization: 2.000 μB per formula unit
Formation energy without anion corrections: -1.406 eV/atom
SG: P312 (149)
Uncorrected energy: -5.924 eV/atom



Record 2
Crystalline Pr12CoAu6 at its relaxed geometry. Source: Alexandria, functional PBE.

abc: 8.5951 8.5951 8.5951
angles: 98.06 98.06 98.06
Atoms (fractional coordinates):
Pr: 0.4256 0.5755 0.1863
Au: 0.3073 0.1288 0.6336
Pr: 0.5744 0.4245 0.8137
Au: 0.1288 0.6336 0.3073
Au: 0.8712 0.3664 0.6927
Pr: 0.5755 0.1863 0.4256
Pr: 0.9393 0.0241 0.6861
Co: 0.0000 0.0000 0.0000
Pr: 0.9759 0.3139 0.0607
Au: 0.6927 0.8712 0.3664
Au: 0.6336 0.3073 0.1288
Pr: 0.4245 0.8137 0.5744
Au: 0.3664 0.6927 0.8712
Pr: 0.0241 0.6861 0.9393
Pr: 0.1863 0.4256 0.5755
Pr: 0.3139 0.0607 0.9759
Pr: 0.8137 0.5744 0.4245
Pr: 0.6861 0.9393 0.0241
Pr: 0.0607 0.9759 0.3139

Summary:
Spin magnetization: 0.000 μB per formula unit
Formation energy from the elements: -0.38 eV/atom
SG: R-3 (148)
Uncorrected energy: -4.812 eV/atom



Record 3
Crystalline Hf8CS2 at its relaxed geometry. Source: Alexandria, functional PBE.

abc: 5.7897 6.7652 6.7652
angles: 59.20 105.29 105.29
Atoms (fractional coordinates):
C: 0.0000 0.0000 0.0000
Hf: 0.2453 0.3853 0.3853
Hf: 0.2223 0.8619 0.3589
Hf: 0.7547 0.6147 0.6147
Hf: 0.7777 0.6411 0.1381
Hf: 0.2367 0.8815 0.8815
S: 0.4977 0.2498 0.2498
Hf: 0.7633 0.1185 0.1185
S: 0.5023 0.7502 0.7502
Hf: 0.7777 0.1381 0.6411
Hf: 0.2223 0.3589 0.8619

Summary:
Spin magnetization: 0.000 μB per formula unit
Formation energy without anion corrections: -0.617 eV/atom
SG: C2/m (12)
Uncorrected energy: -9.445 eV/atom
Energy above the lowest structure with this stoichiometry: 65 kJ/mol of formula units



Record 4
Crystalline CrIn2Mo at its relaxed geometry. Source: Alexandria, functional PBE.

abc: 9.3357 9.3357 9.3357
angles: 19.22 19.22 19.22
Atoms (fractional coordinates):
In: 0.9909 0.9909 0.9909
Cr: 0.2382 0.2382 0.2382
In: 0.7563 0.7563 0.7563
Mo: 0.5146 0.5146 0.5146

Summary:
Spin magnetization: 0.001 μB per formula unit
Formation energy from the elements: 0.35 eV/atom
SG: R3m (160)
Uncorrected energy: -6.135 eV/atom
Energy above the lowest structure with this stoichiometry: 44 kJ/mol of formula units



Record 5
Crystalline AcTbCeY at its relaxed geometry. Source: Alexandria, functional PBE.

abc: 5.8492 5.8492 5.8492
angles: 60.00 60.00 60.00
Each line ends with the local moment (μB).
Atoms (fractional coordinates):
Ac: 0.0000 0.0000 0.0000  -0.01
Y: 0.7500 0.7500 0.7500  0.00
Ce: 0.5000 0.5000 0.5000  0.74
Tb: 0.2500 0.2500 0.2500  0.00

Summary:
Spin magnetization: 0.807 μB per formula unit
Formation energy from the elements: 0.19 eV/atom
SG: F-43m (216)
Uncorrected energy: -5.098 eV/atom



Record 6
Crystalline AlNiRh2 at its relaxed geometry. Source: Alexandria, functional PBE.

abc: 4.2496 4.2496 4.2496
angles: 60.00 60.00 60.00
Each line ends with the local moment (μB).
Atoms (fractional coordinates):
Rh: 0.2500 0.2500 0.2500  0.40
Al: 0.5000 0.5000 0.5000  0.00
Ni: 0.7500 0.7500 0.7500  0.06
Rh: 0.0000 0.0000 0.0000  0.47

Summary:
Spin magnetization: 0.925 μB per formula unit
Formation energy from the elements: -0.28 eV/atom
SG: F-43m (216)
Uncorrected energy: -6.339 eV/atom



Record 7
Crystalline NdSm2 at its relaxed geometry. Source: Alexandria, functional PBE.

abc: 5.1518 6.3251 7.2969
angles: 106.86 90.00 114.03
Atoms (fractional coordinates):
Nd: 0.1667 0.3334 0.0840
Sm: 0.1663 0.3327 0.5826
Sm: 0.8337 0.6673 0.4174
Sm: 0.5004 0.0008 0.2514
Sm: 0.4996 0.9992 0.7486
Nd: 0.8333 0.6666 0.9160

Summary:
Spin magnetization: 0.000 μB per formula unit
Formation energy from the elements: 0.01 eV/atom
SG: C2/m (12)
Uncorrected energy: -4.721 eV/atom
Energy above the lowest structure with this stoichiometry: 1 kJ/mol of formula units



Record 8
Crystalline ReHgW2 at its relaxed geometry. Source: Alexandria, functional PBE.

abc: 5.4110 5.4110 5.4110
angles: 145.88 129.63 62.25
Atoms (fractional coordinates):
Hg: 0.4979 0.4979 0.0000
W: 0.7674 0.2674 0.5000
Re: 0.2321 0.7321 0.5000
W: 0.0026 0.0026 0.0000

Summary:
Spin magnetization: 0.000 μB per formula unit
Formation energy from the elements: 0.67 eV/atom
SG: Imm2 (44)
Uncorrected energy: -8.997 eV/atom